Entry 1:
A geometry-optimized Tm3CuPd6 structure, computed with GGA-PBE.

Lattice parameters (Å, degrees): 12.0485 12.0485 8.7426 90.00 90.00 120.00
Space group R-3 (No. 148, hexagonal axes)
Unique sites:
Tm: 0.0425 0.8383 0.2470 (multiplicity 18)
Cu: 0.0000 0.0000 0.0000 (multiplicity 3)
Cu: 0.0000 0.0000 0.5000 (multiplicity 3)
Pd: 0.0488 0.8109 0.5782 (multiplicity 18)
Pd: 0.0604 0.8214 0.9235 (multiplicity 18)

Values from the calculation:
total magnetization: 0.00 μB per cell
energy of formation: -77.0 kJ per mole of atoms
calculated volume: 183.2 Å³/f.u.
density of states at the Fermi level: 3.58 states/eV/f.u.

=====

Entry 2:
A geometry-optimized LuAl2 structure, computed with GGA-PBE.

Lattice parameters (Å, degrees): 7.7623 7.7623 7.7623 90.00 90.00 90.00
Space group Fd-3m (No. 227, origin choice 2)
Unique sites:
Lu: 0.1250 0.1250 0.1250 (multiplicity 8)
Al: 0.0000 0.0000 0.5000 (multiplicity 16)

Values from the calculation:
total magnetization: 0.00 μB per cell
energy of formation: -47.4 kJ per mole of atoms
calculated volume: 58.5 Å³/f.u.
density of states at the Fermi level: 1.70 states/eV/f.u.

=====

Entry 3:
A geometry-optimized ErTm2Ni2 structure, computed with GGA-PBE.

Lattice parameters (Å, degrees): 3.6235 30.1601 4.0845 90.00 90.00 90.00
Space group Cmcm (No. 63)
Unique sites:
Er: 0.0000 0.1220 0.2500 (multiplicity 4)
Tm: 0.0000 0.2138 0.7500 (multiplicity 4)
Tm: 0.0000 0.4525 0.2500 (multiplicity 4)
Ni: 0.0000 0.0253 0.2500 (multiplicity 4)
Ni: 0.0000 0.3560 0.2500 (multiplicity 4)

Values from the calculation:
total magnetization: 0.00 μB per cell
energy of formation: -31.2 kJ per mole of atoms
energy above the lowest structure with this stoichiometry: 0.0000 eV/atom
calculated volume: 111.6 Å³/f.u.
density of states at the Fermi level: 4.33 states/eV/f.u.

=====

Entry 4:
A geometry-optimized CdGePd2 structure, computed with GGA-PBE.

Lattice parameters (Å, degrees): 6.4328 6.4328 6.4328 90.00 90.00 90.00
Space group Fm-3m (No. 225)
Unique sites:
Cd: 0.0000 0.0000 0.0000 (multiplicity 4)
Ge: 0.0000 0.0000 0.5000 (multiplicity 4)
Pd: 0.2500 0.2500 0.2500 (multiplicity 8)

Values from the calculation:
total magnetization: 0.00 μB per cell
energy of formation: -30.8 kJ per mole of atoms
calculated volume: 66.5 Å³/f.u.
density of states at the Fermi level: 1.97 states/eV/f.u.

=====

Entry 5:
A geometry-optimized Pr4MgCo2 structure, computed with GGA-PBE.

Lattice parameters (Å, degrees): 4.8696 4.8696 27.7429 90.00 90.00 120.00
Space group R-3m (No. 166, hexagonal axes)
Unique sites:
Pr: 0.0000 0.0000 0.1088 (multiplicity 6)
Pr: 0.0000 0.0000 0.2958 (multiplicity 6)
Mg: 0.0000 0.0000 0.5000 (multiplicity 3)
Co: 0.0000 0.0000 0.4043 (multiplicity 6)

Values from the calculation:
total magnetization: 0.00 μB per cell
energy of formation: 8.5 kJ per mole of atoms
calculated volume: 189.9 Å³/f.u.
density of states at the Fermi level: 7.67 states/eV/f.u.

=====

Entry 6:
A geometry-optimized Tc2TeOs structure, computed with GGA-PBE.

Lattice parameters (Å, degrees): 2.9515 2.9515 26.1090 90.00 90.00 120.00
Space group R3m (No. 160, hexagonal axes)
Unique sites:
Tc: 0.0000 0.0000 0.0000 (multiplicity 3)
Tc: 0.0000 0.0000 0.2522 (multiplicity 3)
Te: 0.0000 0.0000 0.7515 (multiplicity 3)
Os: 0.0000 0.0000 0.5071 (multiplicity 3)

Values from the calculation:
total magnetization: 0.00 μB per cell
energy above the lowest structure with this stoichiometry: 0.1293 eV/atom
calculated volume: 65.7 Å³/f.u.
density of states at the Fermi level: 2.78 states/eV/f.u.
ΔE_f (raw): 0.55 eV per atom

=====

Entry 7:
A geometry-optimized ErAg8Pd2 structure, computed with GGA-PBE.

Lattice parameters (Å, degrees): 12.6252 7.7423 4.8347 90.00 102.59 90.00
Space group C2/m (No. 12)
Unique sites:
Er: 0.0000 0.0000 0.0000 (multiplicity 2)
Ag: 0.0683 0.3188 0.7715 (multiplicity 8)
Ag: 0.1462 0.5000 0.3108 (multiplicity 4)
Ag: 0.2347 0.0000 0.1209 (multiplicity 4)
Pd: 0.1177 0.0000 0.5563 (multiplicity 4)

Values from the calculation:
total magnetization: 0.00 μB per cell
energy of formation: 9.4 kJ per mole of atoms
calculated volume: 230.6 Å³/f.u.
density of states at the Fermi level: 3.38 states/eV/f.u.

=====

Entry 8:
A geometry-optimized GaBr2F structure, computed with GGA-PBE.

Lattice parameters (Å, degrees): 5.6127 7.4596 7.4820 97.98 95.59 90.91
Space group P-1 (No. 2)
Unique sites:
Ga: 0.2485 0.1664 0.4604 (multiplicity 2)
Br: 0.2107 0.1871 0.1591 (multiplicity 2)
Br: 0.2826 0.3894 0.7007 (multiplicity 2)
F: 0.0000 0.0000 0.5000 (multiplicity 1)
F: 0.5000 0.0000 0.5000 (multiplicity 1)

Values from the calculation:
total magnetization: 0.00 μB per cell
energy above the lowest structure with this stoichiometry: 0.0042 eV/atom
calculated volume: 154.3 Å³/f.u.
density of states at the Fermi level: 0.00 states/eV/f.u.
ΔE_f (raw): -1.39 eV per atom

=====

What did the seventh record say?
A geometry-optimized ErAg8Pd2 structure, computed with GGA-PBE.

Lattice parameters (Å, degrees): 12.6252 7.7423 4.8347 90.00 102.59 90.00
Space group C2/m (No. 12)
Unique sites:
Er: 0.0000 0.0000 0.0000 (multiplicity 2)
Ag: 0.0683 0.3188 0.7715 (multiplicity 8)
Ag: 0.1462 0.5000 0.3108 (multiplicity 4)
Ag: 0.2347 0.0000 0.1209 (multiplicity 4)
Pd: 0.1177 0.0000 0.5563 (multiplicity 4)

Values from the calculation:
total magnetization: 0.00 μB per cell
energy of formation: 9.4 kJ per mole of atoms
calculated volume: 230.6 Å³/f.u.
density of states at the Fermi level: 3.38 states/eV/f.u.